# Sr2GaCuSO3 | the Alexandria database | meta-GGA SCAN | PBEsol geometry
data_Sr2GaCuSO3
_chemical_formula_sum 'Sr4 Ga2 Cu2 S2 O6'
_space_group_name_H-M_alt 'P 4/n m m'
_space_group_IT_number 129
_cell_length_a 3.8485
_cell_length_b 3.8485
_cell_length_c 15.5366
_cell_angle_alpha 90.00
_cell_angle_beta 90.00
_cell_angle_gamma 90.00
loop_
_space_group_symop_operation_xyz
'x,y,z'
'-x,-y,-z'
'-y+1/2,x,z'
'y+1/2,-x,-z'
'-x+1/2,-y+1/2,z'
'x+1/2,y+1/2,-z'
'y,-x+1/2,z'
'-y,x+1/2,-z'
'x+1/2,-y,-z'
'-x+1/2,y,z'
'-y,-x,-z'
'y,x,z'
'-x,y+1/2,-z'
'x,-y+1/2,z'
'y+1/2,x+1/2,-z'
'-y+1/2,-x+1/2,z'
loop_
_atom_site_label
_atom_site_fract_x
_atom_site_fract_y
_atom_site_fract_z
Sr1 0.2500 0.2500 0.0874
Sr2 0.2500 0.2500 0.3183
Ga1 0.2500 0.2500 0.8098
Cu1 0.2500 0.7500 0.5000
S1 0.2500 0.2500 0.5892
O1 0.2500 0.2500 0.9309
O2 0.2500 0.7500 0.2140
# uncorrected formation energy = -2.206 eV per atom

=====

# DyGe2Ru2 | the Alexandria database | meta-GGA SCAN | PBEsol geometry
data_DyGe2Ru2
_chemical_formula_sum 'Dy2 Ge4 Ru4'
_space_group_name_H-M_alt 'I 4/m m m'
_space_group_IT_number 139
_space_group_name_Hall '-I 4 2'
_cell_length_a 4.1948
_cell_length_b 4.1948
_cell_length_c 9.7745
_cell_angle_alpha 90.00
_cell_angle_beta 90.00
_cell_angle_gamma 90.00
loop_
_atom_site_label
_atom_site_fract_x
_atom_site_fract_y
_atom_site_fract_z
Dy1 0.0000 0.0000 0.0000
Ge1 0.0000 0.0000 0.3713
Ru1 0.0000 0.5000 0.2500
# E_form = -0.7790 eV/atom

=====

no.,calculated total energy (eV for the cell shown)
1,-244.129
2,-319.038